An optimized crystal structure of CaAc2Tl5. Source: Alexandria via LeMat-Bulk, functional PBE-GGA.

a b c (Å): 8.863 8.863 8.863
angles (deg): 142.51 142.51 54.06
Sites, in units of the cell vectors:
Ca1 0.000 0.000 0.000
Ac1 0.259 0.259 0.000
Ac2 0.741 0.741 0.000
Tl1 0.113 0.613 0.500
Tl2 0.387 0.887 0.500
Tl3 0.500 0.500 0.000
Tl4 0.613 0.113 0.500
Tl5 0.887 0.387 0.500

ΔH_f (0 K) (eV/atom): -0.279

An optimized crystal structure of CaAc2Tl2. Source: Alexandria via LeMat-Bulk, functional PBE-GGA.

a b c (Å): 8.670 8.670 4.887
angles (deg): 90.00 90.00 90.00
Sites, in units of the cell vectors:
Ca1 0.000 0.000 0.000
Ca2 0.500 0.500 0.000
Ac1 0.166 0.334 0.500
Ac2 0.334 0.834 0.500
Ac3 0.666 0.166 0.500
Ac4 0.834 0.666 0.500
Tl1 0.132 0.632 0.000
Tl2 0.368 0.132 0.000
Tl3 0.632 0.868 0.000
Tl4 0.868 0.368 0.000

ΔH_f (0 K) (eV/atom): -0.335

An optimized crystal structure of CaAcTl. Source: Alexandria via LeMat-Bulk, functional PBE-GGA.

a b c (Å): 10.060 10.060 10.060
angles (deg): 159.08 159.08 29.76
Sites, in units of the cell vectors:
Ca1 0.000 0.000 0.000
Ac1 0.346 0.346 0.000
Tl1 0.170 0.170 0.000

ΔH_f (0 K) (eV/atom): 0.236

An optimized crystal structure of CaAc3Tl4. Source: Alexandria via LeMat-Bulk, functional PBE-GGA.

a b c (Å): 3.944 3.944 17.294
angles (deg): 90.00 90.00 90.00
Sites, in units of the cell vectors:
Ca1 0.000 0.000 0.000
Ac1 0.000 0.000 0.239
Ac2 0.000 0.000 0.500
Ac3 0.000 0.000 0.761
Tl1 0.500 0.500 0.108
Tl2 0.500 0.500 0.368
Tl3 0.500 0.500 0.632
Tl4 0.500 0.500 0.892

ΔH_f (0 K) (eV/atom): -0.376

| no. | electronic total energy (eV per atom) | D(E_F) (states/eV/f.u.) |
| --- | --- | --- |
| 1 | -3.035 | 7.02 |
| 2 | -3.325 | 8.30 |
| 3 | -2.589 | 4.22 |
| 4 | -3.350 | 7.27 |